First-principles (PBE-GGA) data for a relaxed structure of KPm3Cl8, as listed in Alexandria.

The structure belongs to space group R-3m (No. 166, hexagonal axes); the cell edges are 7.7811, 7.7811 and 23.8839 Å and the angles 90.00°, 90.00° and 120.00°. The distinct sites, in fractional coordinates, are K at (0.0000, 0.0000, 0.0000), Pm at (0.0000, 0.5000, 0.5000), Cl at (0.0000, 0.0000, 0.2403) and Cl at (0.0032, 0.5016, 0.7644).

For the uncorrected energy, the calculation gives -4.56 eV/atom. The energy relative to the elements, uncorrected comes out at -2.054 eV/atom. The value obtained for the total magnetic moment is 1.5 μB per formula unit. As for the density of states at the Fermi level: 12.5 states/eV per cell.

***

First-principles (PBE-GGA) data for a relaxed structure of K3PmCl6, as listed in Alexandria.

The structure belongs to space group P2_1/c (No. 14); the cell edges are 7.5973, 8.0492 and 13.1322 Å and the angles 90.00°, 124.04° and 90.00°. The distinct sites, in fractional coordinates, are K at (0.0000, 0.0000, 0.0000), K at (0.2125, 0.0723, 0.7411), Pm at (0.5000, 0.0000, 0.5000), Cl at (0.1531, 0.1828, 0.4403), Cl at (0.2481, 0.7218, 0.4194) and Cl at (0.4047, 0.0616, 0.2696).

For the uncorrected energy, the calculation gives -4.04 eV/atom. The energy relative to the elements, uncorrected comes out at -2.125 eV/atom. The value obtained for the total magnetic moment is 0.0 μB per formula unit. As for the density of states at the Fermi level: 0.0 states/eV per cell.